The following is a DFT calculation (PBE-GGA) of BaCaPrTl after structural relaxation.

Cell lengths 5.950, 5.950, 5.950 Å; angles 60.00, 60.00, 60.00 degrees
Fractional positions:
Pr: 0.250 0.250 0.250
Tl: 0.000 0.000 0.000
Ba: 0.750 0.750 0.750
Ca: 0.500 0.500 0.500

Output
Calculated formation energy ... -0.073 eV/atom
Density ... 5.83 g cm⁻³
D(E_F) ... 1.062 states/eV per atom
Total magnetization ... 0.00 μB/f.u.